The following is a DFT calculation (GGA-PBE) of a relaxed Na2LiAs2O6 crystal.

Values from the calculation:
Its uncorrected formation energy is -1.400 eV per atom. The value obtained for the spin magnetization is 0.0 μB per cell. Its space group is P-31m, No. 162.

a b c (Å): 5.183 5.183 5.828
angles (deg): 90.00 90.00 120.00
Element x y z (fractional)
1 Na 0.333 0.667 0.000
2 Na 0.667 0.333 0.000
3 Li 0.000 0.000 0.500
4 As 0.333 0.667 0.500
5 As 0.667 0.333 0.500
6 O 0.000 0.371 0.682
7 O 0.000 0.629 0.318
8 O 0.371 0.000 0.682
9 O 0.371 0.371 0.318
10 O 0.629 0.000 0.318
11 O 0.629 0.629 0.682